A plane-wave DFT calculation with PBE was carried out for a relaxed TcTeOsN2 crystal.

abc: 3.8330 3.8330 5.8856
angles: 90.00 90.00 90.00
Positions (direct):
Tc 0.0000 0.0000 0.0000
Te 0.5000 0.5000 0.0000
Os 0.5000 0.5000 0.5000
N 0.0000 0.5000 0.5000
N 0.5000 0.0000 0.5000

Values from the calculation:
**Energy relative to the lowest polymorph listed for this composition**: 0 meV per atom
**Energy relative to the elements, uncorrected**: 5.50 eV per formula unit
**Total magnetic moment**: 3.546 μB/f.u.
**Raw total energy**: -35.89 eV/cell